VASP calculation (meta-GGA SCAN) on a crystal of KBaTa2 relaxed with PBEsol.

Summary:
symmetry = Cmmm (65)
energy above the most stable polymorph in this dataset = 585 meV/atom
E_form = 1.549 eV/atom

abc: 6.6312 6.6312 2.9212
angles: 90.00 90.00 128.47
Fractional positions:
K 0.0000 0.0000 0.0000
Ba 0.5000 0.5000 0.0000
Ta 0.0000 0.5000 0.5000
Ta 0.5000 0.0000 0.5000

---

VASP calculation (meta-GGA SCAN) on a crystal of AlFeTe2 relaxed with PBEsol.

Summary:
symmetry = C2/m (12)
raw formation energy = 0.287 eV per atom

abc: 4.9526 4.9526 4.0367
angles: 105.50 105.50 103.30
Fractional positions:
Al 0.0000 0.0000 0.0000
Fe 0.5000 0.5000 0.0000
Te 0.0000 0.5000 0.5000
Te 0.5000 0.0000 0.5000

---

VASP calculation (meta-GGA SCAN) on a crystal of Li2ZnCdP2 relaxed with PBEsol.

Summary:
symmetry = R3m (160)
E_form = -0.571 eV/atom

abc: 7.1944 7.1944 7.1944
angles: 33.47 33.47 33.47
Fractional positions:
Li 0.0000 0.0000 0.0000
Li 0.4981 0.4981 0.4981
Zn 0.7488 0.7488 0.7488
Cd 0.2492 0.2492 0.2492
P 0.3774 0.3774 0.3774
P 0.8684 0.8684 0.8684